# TbCeTeSe

A geometry-optimized TbCeTeSe structure (PBE-GGA, the Alexandria database).

a b c (Å): 4.123 4.124 8.074
angles (deg): 90.00 104.79 120.00
Each line ends with the local moment (μB).
Sites, in units of the cell vectors:
Te  0.128  0.962  0.105  -0.01
Tb  0.297  0.547  0.859  -0.01
Se  0.478  0.137  0.631  -0.01
Ce  0.974  0.385  0.374  1.10

SG ... R3m
Raw total energy ... -23.13 eV per cell
Total magnetization ... 0.367 μB/atom
N(E_F) ... 7.3 states/eV/cell
Formation energy from raw total energies ... -1.485 eV/atom